[1]
DFT (PBE) results for Cs2YMgCl6 after structural relaxation.

The density of states at the Fermi level is 0.92 states/eV per cell. The total magnetization comes out at 1.98 Bohr magnetons per cell. The value obtained for the calculated density is 2.90 g/cm3.

It has space group Pmmn (No. 59, origin choice 2), with a = 7.8440 Å, b = 10.9142 Å, c = 7.9292 Å, α = 90.00°, β = 90.00° and γ = 90.00°. The asymmetric unit holds Cs at (0.2500, 0.0006, 0.2348), Y at (0.2500, 0.2500, 0.7330), Mg at (0.2500, 0.7500, 0.7259), Cl at (0.0038, 0.2500, 0.4922), Cl at (0.0147, 0.2500, 0.9678) and Cl at (0.2500, 0.0066, 0.7141).


[2]
DFT (PBE) results for CsYMg2Cl8 after structural relaxation.

The density of states at the Fermi level is 0.00 states/eV per cell. The total magnetization comes out at 0.00 Bohr magnetons per cell. The value obtained for the calculated density is 2.44 g/cm3.

It has space group P-1 (No. 2), with a = 6.6403 Å, b = 6.7514 Å, c = 9.4332 Å, α = 72.10°, β = 74.14° and γ = 72.66°. The asymmetric unit holds Cs at (0.0000, 0.0000, 0.0000), Y at (0.0000, 0.0000, 0.5000), Mg at (0.4605, 0.4520, 0.2102), Cl at (0.1838, 0.7097, 0.7251), Cl at (0.2584, 0.7772, 0.3016), Cl at (0.2792, 0.2333, 0.4452) and Cl at (0.3891, 0.3007, 0.0325).


[3]
DFT (PBE) results for CsMgZnCl5 after structural relaxation.

The density of states at the Fermi level is 0.00 states/eV per cell. The total magnetization comes out at 0.00 Bohr magnetons per cell. The value obtained for the calculated density is 2.83 g/cm3.

It has space group C2/c (No. 15), with a = 9.1062 Å, b = 11.9960 Å, c = 9.3066 Å, α = 90.00°, β = 112.70° and γ = 90.00°. The asymmetric unit holds Cs at (0.0000, 0.1548, 0.2500), Mg at (0.0000, 0.5000, 0.0000), Zn at (0.0000, 0.1965, 0.7500), Cl at (0.0000, 0.4403, 0.2500), Cl at (0.0986, 0.3055, 0.6031) and Cl at (0.1970, 0.0846, 0.9222).


[4]
DFT (PBE) results for Cs2MgZrCl6 after structural relaxation.

The density of states at the Fermi level is 37.32 states/eV per cell. The total magnetization comes out at 8.00 Bohr magnetons per cell. The value obtained for the calculated density is 3.48 g/cm3.

It has space group Fm-3m (No. 225), with a = 10.4319 Å, b = 10.4319 Å, c = 10.4319 Å, α = 90.00°, β = 90.00° and γ = 90.00°. The asymmetric unit holds Cs at (0.2500, 0.2500, 0.2500), Mg at (0.0000, 0.0000, 0.0000), Zr at (0.0000, 0.0000, 0.5000) and Cl at (0.0000, 0.0000, 0.2439).


[5]
DFT (PBE) results for CsMn4Cl8 after structural relaxation.

The density of states at the Fermi level is 11.11 states/eV per cell. The total magnetization comes out at 38.00 Bohr magnetons per cell. The value obtained for the calculated density is 2.64 g/cm3.

It has space group C2/m (No. 12), with a = 12.7940 Å, b = 7.3832 Å, c = 10.5501 Å, α = 90.00°, β = 126.56° and γ = 90.00°. The asymmetric unit holds Cs at (0.0000, 0.0000, 0.0000), Mn at (0.0000, 0.2543, 0.5000), Mn at (0.2455, 0.5000, 0.4936), Cl at (0.0013, 0.5000, 0.6712), Cl at (0.0029, 0.0000, 0.3354) and Cl at (0.2501, 0.2486, 0.3306).


[6]
DFT (PBE) results for CsMn2Cl7 after structural relaxation.

The density of states at the Fermi level is 0.95 states/eV per cell. The total magnetization comes out at 16.00 Bohr magnetons per cell. The value obtained for the calculated density is 2.63 g/cm3.

It has space group Cmmm (No. 65), with a = 7.9591 Å, b = 18.3555 Å, c = 4.2366 Å, α = 90.00°, β = 90.00° and γ = 90.00°. The asymmetric unit holds Cs at (0.0000, 0.0000, 0.0000), Mn at (0.0000, 0.3688, 0.5000), Cl at (0.0000, 0.3097, 0.0000), Cl at (0.0000, 0.5000, 0.5000) and Cl at (0.2195, 0.1309, 0.5000).


[7]
DFT (PBE) results for CsMnCl5 after structural relaxation.

The density of states at the Fermi level is 0.48 states/eV per cell. The total magnetization comes out at 6.00 Bohr magnetons per cell. The value obtained for the calculated density is 2.33 g/cm3.

It has space group Imm2 (No. 44), with a = 7.7554 Å, b = 9.9047 Å, c = 6.7698 Å, α = 90.00°, β = 90.00° and γ = 90.00°. The asymmetric unit holds Cs at (0.0000, 0.0000, 0.0000), Mn at (0.0000, 0.5000, 0.9803), Cl at (0.0000, 0.3319, 0.7689), Cl at (0.0000, 0.5000, 0.3065) and Cl at (0.2100, 0.0000, 0.4924).


[8]
DFT (PBE) results for Cs3MnCl5 after structural relaxation.

The density of states at the Fermi level is 0.00 states/eV per cell. The total magnetization comes out at 20.00 Bohr magnetons per cell. The value obtained for the calculated density is 3.13 g/cm3.

It has space group I4/mcm (No. 140), with a = 9.4335 Å, b = 9.4335 Å, c = 15.0242 Å, α = 90.00°, β = 90.00° and γ = 90.00°. The asymmetric unit holds Cs at (0.0000, 0.0000, 0.2500), Cs at (0.1664, 0.3336, 0.0000), Mn at (0.0000, 0.5000, 0.2500), Cl at (0.0000, 0.0000, 0.0000) and Cl at (0.1400, 0.3600, 0.3446).


[9]
DFT (PBE) results for CsMn2Cl8 after structural relaxation.

The calculation puts the relative energy among the computed polymorphs at 364 meV per atom. The density of states at the Fermi level is 8.64 states/eV per cell. The total magnetization comes out at 7.80 Bohr magnetons per cell. The value obtained for the calculated density is 2.68 g/cm3.

It has space group P4/mmm (No. 123), with a = 6.1226 Å, b = 6.1226 Å, c = 8.7078 Å, α = 90.00°, β = 90.00° and γ = 90.00°. The asymmetric unit holds Cs at (0.0000, 0.0000, 0.0000), Mn at (0.0000, 0.5000, 0.5000) and Cl at (0.2515, 0.2515, 0.3233).


[10]
DFT (PBE) results for CsMnCl6 after structural relaxation.

The calculation puts the relative energy among the computed polymorphs at 47 meV per atom. The density of states at the Fermi level is 42.99 states/eV per cell. The total magnetization comes out at 16.44 Bohr magnetons per cell. The value obtained for the calculated density is 1.73 g/cm3.

It has space group Fm-3m (No. 225), with a = 11.5444 Å, b = 11.5444 Å, c = 11.5444 Å, α = 90.00°, β = 90.00° and γ = 90.00°. The asymmetric unit holds Cs at (0.0000, 0.0000, 0.0000), Mn at (0.0000, 0.0000, 0.5000) and Cl at (0.0000, 0.0000, 0.3043).


[11]
DFT (PBE) results for Cs2Mn3Cl9 after structural relaxation.

The density of states at the Fermi level is 19.01 states/eV per cell. The total magnetization comes out at 15.86 Bohr magnetons per cell. The value obtained for the calculated density is 2.55 g/cm3.

It has space group C2/m (No. 12), with a = 11.6983 Å, b = 17.8077 Å, c = 10.8153 Å, α = 90.00°, β = 119.77° and γ = 90.00°. The asymmetric unit holds Cs at (0.0855, 0.1604, 0.2986), Mn at (0.1412, 0.5000, 0.8425), Mn at (0.1713, 0.3865, 0.1867), Cl at (0.0000, 0.3102, 0.0000), Cl at (0.0315, 0.4024, 0.2827), Cl at (0.1853, 0.2041, 0.6576), Cl at (0.2156, 0.0000, 0.6921), Cl at (0.2323, 0.0000, 0.2668) and Cl at (0.2391, 0.0974, 0.9655).


[12]
DFT (PBE) results for CsMnCl6 after structural relaxation.

The calculation puts the relative energy among the computed polymorphs at 0 meV per atom. The density of states at the Fermi level is 19.12 states/eV per cell. The total magnetization comes out at 8.22 Bohr magnetons per cell. The value obtained for the calculated density is 2.62 g/cm3.

It has space group C2/m (No. 12), with a = 8.4208 Å, b = 9.7000 Å, c = 6.4536 Å, α = 90.00°, β = 105.92° and γ = 90.00°. The asymmetric unit holds Cs at (0.0000, 0.0000, 0.0000), Mn at (0.0000, 0.5000, 0.5000), Cl at (0.0953, 0.3352, 0.7524) and Cl at (0.2468, 0.5000, 0.4230).


Number 1: E_form (uncorrected) -1.8879 eV per atom. Number 2: E_form (uncorrected) -1.9785 eV per atom. Number 3: E_form (uncorrected) -1.6206 eV per atom. Number 4: E_form (uncorrected) -1.7018 eV per atom. Number 5: E_form (uncorrected) -1.1224 eV per atom. Number 6: E_form (uncorrected) -1.1282 eV per atom. Number 7: E_form (uncorrected) -1.1462 eV per atom. Number 8: E_form (uncorrected) -1.7327 eV per atom. Number 9: E_form (uncorrected) -0.6835 eV per atom. Number 10: E_form (uncorrected) -0.9221 eV per atom. Number 11: E_form (uncorrected) -1.3151 eV per atom. Number 12: E_form (uncorrected) -0.9692 eV per atom.